This record from Alexandria via LeMat-Bulk describes a geometry-optimized Y2CdAg5 structure. The functional is PBE-GGA.

Computed properties:
spin magnetization: 0.0 μB per formula unit
theoretical density: 8.05 g/cm3
DFT formation energy: -192 meV per atom

abc: 5.0633 5.0633 7.5767
angles: 109.52 109.52 90.00
Fractional coordinates of all 8 atoms:
Ag 0.1137 0.6137 0.2275
Ag 0.8863 0.3863 0.7725
Ag 0.5000 0.5000 0.0000
Ag 0.6137 0.1137 0.2275
Ag 0.3863 0.8863 0.7725
Y 0.7465 0.7465 0.4930
Y 0.2535 0.2535 0.5070
Cd 0.0000 0.0000 0.0000